[1]
NdPu3S4 after structural relaxation, computed with PBE.

The magnetization is 34.00 Bohr magnetons per cell. As for the energy: -157.9 eV/cell. Its theoretical density is 9.28 g/cm3.

The space group is Cmmm (No. 65) and the conventional cell measures 7.987, 11.284 and 3.989 Å, with angles of 90.00, 90.00 and 90.00 degrees. Symmetry generates all atoms from Nd at (0.000, 0.000, 0.000), Pu at (0.000, 0.500, 0.000), Pu at (0.250, 0.250, 0.500), S at (0.000, 0.254, 0.000) and S at (0.242, 0.500, 0.500).


[2]
KYZr2Ga after structural relaxation, computed with PBE.

The magnetization is 0.00 Bohr magnetons per cell. The calculation puts the energy of formation from the pure elements at 1.43 eV/atom. Its theoretical density is 3.86 g/cm3.

The space group is P4/mmm (No. 123) and the conventional cell measures 5.310, 5.310 and 5.802 Å, with angles of 90.00, 90.00 and 90.00 degrees. Symmetry generates all atoms from K at (0.000, 0.000, 0.000), Y at (0.000, 0.000, 0.500), Zr at (0.000, 0.500, 0.500) and Ga at (0.500, 0.500, 0.000).


[3]
Na4PmTa3O12 after structural relaxation, computed with PBE.

The magnetization is 4.09 Bohr magnetons per cell. As for the energy: -304.6 eV/cell. Its theoretical density is 5.70 g/cm3.

The space group is Im-3m (No. 229) and the conventional cell measures 8.271, 8.271 and 8.271 Å, with angles of 90.00, 90.00 and 90.00 degrees. Symmetry generates all atoms from Na at (0.250, 0.250, 0.250), Pm at (0.000, 0.000, 0.000), Ta at (0.000, 0.000, 0.500), O at (0.000, 0.000, 0.270) and O at (0.000, 0.250, 0.500).


[4]
Pm6Nd2Sm3Tl after structural relaxation, computed with PBE.

The magnetization is 0.00 Bohr magnetons per cell. The calculation puts the energy of formation from the pure elements at -0.03 eV/atom. Its theoretical density is 7.56 g/cm3.

The space group is C2/m (No. 12) and the conventional cell measures 6.242, 10.837 and 11.976 Å, with angles of 90.00, 100.16 and 90.00 degrees. Symmetry generates all atoms from Pm at (0.243, 0.000, 0.250), Pm at (0.245, 0.163, 0.748), Nd at (0.000, 0.334, 0.500), Sm at (0.000, 0.168, 0.000), Sm at (0.000, 0.500, 0.000) and Tl at (0.000, 0.000, 0.500).


> Number 4 is which compound?

Pm6Nd2Sm3Tl


> Among the records above, which one has the highest magnetization?

NdPu3S4